(1)
# PmTlSn2Se4

Crystalline PmTlSn2Se4 at its relaxed geometry (PBE-GGA, Alexandria).

For the spin magnetization, the calculation gives 0.0 Bohr magnetons per cell. The value obtained for the uncorrected energy is -4.467 eV/atom.

Structure (CIF):
```
data_PmTlSn2Se4
_chemical_formula_sum 'Pm1 Tl1 Sn2 Se4'
_cell_length_a 7.488
_cell_length_b 4.317
_cell_length_c 7.569
_cell_angle_alpha 90.00
_cell_angle_beta 108.48
_cell_angle_gamma 90.00
_symmetry_space_group_name_H-M 'P 1 2/m 1'
_symmetry_Int_Tables_number 10
loop_
_symmetry_equiv_pos_as_xyz
'x,y,z'
'-x,-y,-z'
'-x,y,-z'
'x,-y,z'
loop_
_atom_site_label
_atom_site_type_symbol
_atom_site_fract_x
_atom_site_fract_y
_atom_site_fract_z
Pm1 Pm 0.000 0.000 0.000
Tl1 Tl 0.000 0.500 0.500
Sn1 Sn 0.500 0.000 0.500
Sn2 Sn 0.500 0.500 0.000
Se1 Se 0.247 0.500 0.232
Se2 Se 0.259 0.000 0.774
```



(2)
# PmEr6Cd2

Crystalline PmEr6Cd2 at its relaxed geometry (PBE-GGA, Alexandria).

For the spin magnetization, the calculation gives 0.0 Bohr magnetons per cell. The calculation puts the calculated formation energy at -1.11 eV per formula unit.

Structure (CIF):
```
data_PmEr6Cd2
_chemical_formula_sum 'Pm2 Er12 Cd4'
_cell_length_a 12.559
_cell_length_b 3.710
_cell_length_c 11.810
_cell_angle_alpha 90.00
_cell_angle_beta 108.20
_cell_angle_gamma 90.00
_symmetry_space_group_name_H-M 'C 1 2/m 1'
_symmetry_Int_Tables_number 12
loop_
_symmetry_equiv_pos_as_xyz
'x,y,z'
'-x,-y,-z'
'-x,y,-z'
'x,-y,z'
'x+1/2,y+1/2,z'
'-x+1/2,-y+1/2,-z'
'-x+1/2,y+1/2,-z'
'x+1/2,-y+1/2,z'
loop_
_atom_site_label
_atom_site_type_symbol
_atom_site_fract_x
_atom_site_fract_y
_atom_site_fract_z
Pm1 Pm 0.000 0.000 0.000
Er1 Er 0.014 0.000 0.342
Er2 Er 0.184 0.500 0.876
Er3 Er 0.187 0.500 0.582
Cd1 Cd 0.150 0.500 0.216
```



(3)
# TiOF2

Crystalline TiOF2 at its relaxed geometry (PBE-GGA, Alexandria).

For the spin magnetization, the calculation gives 0.0 Bohr magnetons per cell. The value obtained for the uncorrected energy is -7.302 eV/atom.

Structure (CIF):
```
data_TiOF2
_chemical_formula_sum 'Ti2 O2 F4'
_cell_length_a 3.802
_cell_length_b 3.802
_cell_length_c 7.889
_cell_angle_alpha 90.00
_cell_angle_beta 90.00
_cell_angle_gamma 90.00
_symmetry_space_group_name_H-M 'P 42/m m c'
_symmetry_Int_Tables_number 131
_symmetry_space_group_name_Hall '-P 4c 2'
loop_
_atom_site_label
_atom_site_type_symbol
_atom_site_fract_x
_atom_site_fract_y
_atom_site_fract_z
Ti1 Ti 0.000 0.000 0.000
O1 O 0.000 0.500 0.000
F1 F 0.000 0.000 0.250
F2 F 0.000 0.500 0.500
```



(4)
# CeTlCo4

Crystalline CeTlCo4 at its relaxed geometry (PBE-GGA, Alexandria).

For the spin magnetization, the calculation gives 14.0 Bohr magnetons per cell. The calculation puts the calculated formation energy at 0.00 eV per formula unit.

Structure (CIF):
```
data_CeTlCo4
_chemical_formula_sum 'Ce4 Tl4 Co16'
_cell_length_a 7.136
_cell_length_b 7.136
_cell_length_c 7.136
_cell_angle_alpha 90.00
_cell_angle_beta 90.00
_cell_angle_gamma 90.00
_symmetry_space_group_name_H-M 'F -4 3 m'
_symmetry_Int_Tables_number 216
_symmetry_space_group_name_Hall 'F -4 2 3'
loop_
_atom_site_label
_atom_site_type_symbol
_atom_site_fract_x
_atom_site_fract_y
_atom_site_fract_z
Ce1 Ce 0.000 0.000 0.000
Tl1 Tl 0.250 0.250 0.750
Co1 Co 0.125 0.125 0.375
```



Values of theoretical density, in order: 6.5 8.7 3.0 10.6, all in g/cm3.